# SrCe3Bi4

A geometry-optimized SrCe3Bi4 structure (GGA-PBE, Alexandria).

```
SrCe3Bi4
1.0
-2.274 -2.759 -2.979
6.871 -1.349 -3.996
3.692 -6.439 3.144
Bi Ce Sr
4 3 1
direct
0.000 0.237 0.263
0.500 0.245 0.745
0.000 0.763 0.737
0.500 0.756 0.255
0.500 0.000 0.500
0.000 0.000 0.000
0.000 0.500 0.500
0.500 0.500 0.000
```

energy of formation = -6.42 eV/f.u.
energy = -5.178 eV per atom
crystal system = orthorhombic
calculated volume = 285 Å³/f.u.
mass density = 7.82 g cm⁻³

# Ac2Ni12P3Rh

A geometry-optimized Ac2Ni12P3Rh structure (GGA-PBE, Alexandria).

```
Ac2Ni12P3Rh
1.0
-3.265 -0.967 -6.518
-6.998 -2.257 0.118
-5.095 4.949 -1.905
Ni Ac P Rh
12 2 3 1
direct
0.883 0.375 0.883
0.375 0.883 0.883
0.335 0.902 0.335
0.665 0.665 0.098
0.625 0.117 0.117
0.117 0.117 0.625
0.117 0.625 0.117
0.665 0.098 0.665
0.335 0.335 0.902
0.902 0.335 0.335
0.883 0.883 0.375
0.098 0.665 0.665
0.384 0.384 0.384
0.616 0.616 0.616
0.000 0.500 0.000
0.000 0.000 0.500
0.500 0.000 0.000
0.000 0.000 0.000
```

energy of formation = 0.09 eV/f.u.
energy = -5.616 eV per atom
crystal system = trigonal
calculated volume = 302 Å³/f.u.
mass density = 7.44 g cm⁻³

# Er12Ni5Hg

A geometry-optimized Er12Ni5Hg structure (GGA-PBE, Alexandria).

```
Er12Ni5Hg
1.0
-2.688 4.885 6.018
-4.528 1.079 -6.756
-0.639 -7.908 2.088
Er Ni Hg
12 5 1
direct
0.305 0.676 0.981
0.695 0.676 0.371
0.305 0.324 0.629
0.534 0.820 0.714
0.189 0.966 0.777
0.811 0.588 0.777
0.466 0.180 0.286
0.811 0.034 0.223
0.189 0.412 0.223
0.105 0.820 0.286
0.695 0.324 0.019
0.895 0.180 0.714
0.500 0.878 0.378
0.500 0.122 0.622
0.000 0.000 0.000
0.643 0.643 0.000
0.357 0.357 0.000
0.000 0.500 0.500
```

energy of formation = -6.33 eV/f.u.
energy = -5.016 eV per atom
crystal system = orthorhombic
calculated volume = 424 Å³/f.u.
mass density = 9.79 g cm⁻³

# SrCeSbAu

A geometry-optimized SrCeSbAu structure (GGA-PBE, Alexandria).

```
SrCeSbAu
1.0
-2.292 -4.809 -1.287
0.758 -4.352 3.244
-4.158 -1.943 2.996
Sb Ce Au Sr
1 1 1 1
direct
0.500 0.500 0.500
0.750 0.750 0.750
0.000 0.000 0.000
0.250 0.250 0.250
```

ΔE_f (raw) = -0.74 eV/atom
energy = -4.491 eV per atom
crystal system = cubic
calculated volume = 116 Å³/f.u.
mass density = 7.79 g cm⁻³

# NaTaF3

A geometry-optimized NaTaF3 structure (GGA-PBE, Alexandria).

```
NaTaF3
1.0
-4.278 0.064 0.676
0.644 -0.978 4.170
0.214 4.219 0.957
Ta F Na
1 3 1
direct
0.000 0.000 0.000
0.000 0.500 0.000
0.000 0.000 0.500
0.500 0.000 0.000
0.500 0.500 0.500
```

polymorph energy (0 for the lowest one) = 0.00 eV/f.u.
ΔE_f (raw) = -1.84 eV/atom
energy = -5.600 eV per atom
crystal system = cubic
calculated volume = 81 Å³/f.u.
mass density = 5.33 g cm⁻³

# BaTaCd2

A geometry-optimized BaTaCd2 structure (GGA-PBE, Alexandria).

```
BaTaCd2
1.0
3.198 0.011 0.000
-0.009 3.198 0.000
0.000 0.000 9.638
Cd Ta Ba
2 1 1
direct
0.000 0.000 0.042
0.000 0.000 0.458
0.500 0.500 0.250
0.500 0.500 0.750
```

polymorph energy (0 for the lowest one) = 0.00 eV/f.u.
energy of formation = 1.28 eV/f.u.
energy = -3.582 eV per atom
crystal system = tetragonal
calculated volume = 99 Å³/f.u.
mass density = 9.15 g cm⁻³